Entry 1:
AlVC | Alexandria via LeMat-Bulk | GGA-PBE | relaxed; calculated volume = 35 Å³/f.u.; electronic total energy = -7.49 eV/atom; ΔE_f = -124 meV per atom
1.0
-0.946 -3.151 -4.690
5.636 -0.207 -0.998
-2.532 -3.425 2.811
Al V C
4 4 4
Direct
0.750 0.240 0.980
0.250 0.240 0.980
0.250 0.740 0.980
0.750 0.740 0.980
0.500 0.781 0.562
0.500 0.281 0.562
0.000 0.281 0.562
0.000 0.781 0.562
0.750 0.979 0.458
0.250 0.479 0.458
0.750 0.479 0.458
0.250 0.979 0.458

Entry 2:
Y2NiP4Ir3 | Alexandria via LeMat-Bulk | GGA-PBE | relaxed; calculated volume = 161 Å³/f.u.; electronic total energy = -7.65 eV/atom; ΔE_f = -952 meV per atom
1.0
-4.093 0.514 0.355
-0.427 -0.587 -4.076
-1.035 -9.230 1.437
P Ir Y Ni
4 3 2 1
Direct
0.500 0.000 0.633
0.000 0.000 0.000
0.500 0.500 0.000
0.000 0.500 0.367
0.500 0.000 0.884
0.000 0.000 0.500
0.000 0.500 0.116
0.000 0.500 0.753
0.500 0.000 0.247
0.500 0.500 0.500

Entry 3:
Tb2Pm5Y2 | Alexandria via LeMat-Bulk | GGA-PBE | relaxed; calculated volume = 300 Å³/f.u.; electronic total energy = -5.09 eV/atom; ΔE_f = 14 meV per atom
1.0
-2.880 -1.410 -1.670
1.504 -9.344 5.259
-2.315 -1.497 9.155
Pm Y Tb
5 2 2
Direct
0.000 0.000 0.000
0.221 0.889 0.443
0.110 0.445 0.221
0.779 0.111 0.557
0.890 0.555 0.779
0.333 0.334 0.666
0.667 0.666 0.334
0.555 0.222 0.110
0.445 0.778 0.890

- Which value of electronic total energy does entry 2 give?
  -7.65 eV/atom